Material: TbAlAu4
Method: DFT, PBE
State: relaxed

Cell lengths 5.1889, 5.1893, 9.9822 Å; angles 110.14, 110.13, 87.29 degrees
Fractional coordinates of all 12 atoms:
Tb (0.7500, 0.7500, 0.0000)
Tb (0.2500, 0.2500, 0.0000)
Al (0.5000, 0.0000, 0.5000)
Al (0.0000, 0.5000, 0.5000)
Au (0.6345, 0.1344, 0.8167)
Au (0.8655, 0.3657, 0.1833)
Au (0.3655, 0.8656, 0.1833)
Au (0.1345, 0.6343, 0.8167)
Au (0.0320, 0.0318, 0.6502)
Au (0.4680, 0.4682, 0.3498)
Au (0.9680, 0.9682, 0.3498)
Au (0.5320, 0.5318, 0.6502)

Calculated values
E_tot in eV per cell: -49.19
SG: No. 10
Magnetization in μB/f.u.: 0.0
Polymorph energy (0 for the lowest one) in meV/atom: 14
Energy of formation from the pure elements in eV/f.u.: -3.1